--- a ---
VASP calculation (PBE) on a geometry-optimized SrTaRu structure.

Results
Density (g cm⁻³): 8.6

abc: 6.6540 6.6540 6.6540
angles: 150.47 150.47 42.25
With the nearest neighbours (Å) after each atom.
Sites, in units of the cell vectors:
Sr1 0.0000 0.0000 0.0000  4 Sr 3.39, 5 Ta 3.46-3.65, 5 Ru 3.48-3.69
Ta1 0.7215 0.7215 0.0000  4 Ru 2.57
Ru1 0.2971 0.2971 0.0000  4 Ta 2.57



--- b ---
VASP calculation (PBE) on a geometry-optimized SrTaRu structure.

Results
Density (g cm⁻³): 8.9

abc: 4.6072 4.6072 4.6072
angles: 60.00 60.00 60.00
With the nearest neighbours (Å) after each atom.
Sites, in units of the cell vectors:
Sr1 0.0000 0.0000 0.0000  4 Ta 2.82, 4 Ru 2.82
Ta1 0.7500 0.7500 0.7500  4 Sr 2.82
Ru1 0.2500 0.2500 0.2500  4 Sr 2.82



It comes down to a, which is 1930 meV/atom more stable than the next structure.



--- a ---
VASP calculation (PBE) on a geometry-optimized SrTb2Ru structure.

Results
Density (g cm⁻³): 5.8

abc: 10.9610 10.9610 10.9610
angles: 20.76 20.76 20.76
With the nearest neighbours (Å) after each atom.
Sites, in units of the cell vectors:
Sr1 0.0000 0.0000 0.0000  2 Tb 3.84, 6 Sr 3.95
Tb1 0.1194 0.1194 0.1194  3 Ru 2.74
Tb2 0.8806 0.8806 0.8806  3 Ru 2.74
Ru1 0.5000 0.5000 0.5000  6 Tb 2.74



--- b ---
VASP calculation (PBE) on a geometry-optimized SrTb2Ru structure.

Results
Density (g cm⁻³): 6.9

abc: 3.4835 3.4835 9.9843
angles: 90.00 90.00 90.00
With the nearest neighbours (Å) after each atom.
Sites, in units of the cell vectors:
Sr1 0.0000 0.0000 0.0000  4 Sr 3.48
Tb1 0.5000 0.5000 0.3366  4 Ru 2.95, 1 Tb 3.26
Tb2 0.5000 0.5000 0.6634  4 Ru 2.95, 1 Tb 3.26
Ru1 0.0000 0.0000 0.5000  8 Tb 2.95



It comes down to b, which is 186 meV/atom more stable than the next structure.



--- a ---
VASP calculation (PBE) on a geometry-optimized SrTc2Ru structure.

Results
Density (g cm⁻³): 9.3

abc: 4.5981 4.5981 4.5981
angles: 60.00 60.00 60.00
With the nearest neighbours (Å) after each atom.
Sites, in units of the cell vectors:
Sr1 0.0000 0.0000 0.0000  8 Tc 2.82
Tc1 0.2500 0.2500 0.2500  4 Ru 2.82, 4 Sr 2.82
Tc2 0.7500 0.7500 0.7500  4 Ru 2.82, 4 Sr 2.82
Ru1 0.5000 0.5000 0.5000  8 Tc 2.82



--- b ---
VASP calculation (PBE) on a geometry-optimized SrTc2Ru structure.

Results
Density (g cm⁻³): 9.1

abc: 9.8072 9.8072 9.8072
angles: 16.94 16.94 16.94
With the nearest neighbours (Å) after each atom.
Sites, in units of the cell vectors:
Sr1 0.0000 0.0000 0.0000  6 Sr 2.89, 3 Ru 3.18
Tc1 0.2368 0.2368 0.2368  9 Tc 2.66-2.89
Tc2 0.4986 0.4986 0.4986  9 Tc 2.66-2.89, 3 Ru 2.67
Ru1 0.7600 0.7600 0.7600  3 Tc 2.67, 6 Ru 2.89



It comes down to b, which is 226 meV/atom more stable than the next structure.



--- a ---
VASP calculation (PBE) on a geometry-optimized SrTc2Ru structure.

Results
Density (g cm⁻³): 8.9

abc: 2.8137 2.8137 9.0176
angles: 90.00 90.00 90.00
With the nearest neighbours (Å) after each atom.
Sites, in units of the cell vectors:
Sr1 0.0000 0.0000 0.0000  4 Sr 2.81
Tc1 0.5000 0.5000 0.2980  4 Ru 2.70, 4 Tc 2.81
Tc2 0.5000 0.5000 0.7020  4 Ru 2.70, 4 Tc 2.81
Ru1 0.0000 0.0000 0.5000  8 Tc 2.70, 4 Ru 2.81



--- b ---
VASP calculation (PBE) on a geometry-optimized SrTc2Ru structure.

Results
Density (g cm⁻³): 9.1

abc: 10.0114 10.0114 10.0114
angles: 16.44 16.44 16.44
With the nearest neighbours (Å) after each atom.
Sites, in units of the cell vectors:
Sr1 0.0000 0.0000 0.0000  6 Sr 2.86
Tc1 0.2372 0.2372 0.2372  3 Ru 2.67, 6 Tc 2.86
Tc2 0.7628 0.7628 0.7628  3 Ru 2.67, 6 Tc 2.86
Ru1 0.5000 0.5000 0.5000  6 Tc 2.67, 6 Ru 2.86



--- c ---
VASP calculation (PBE) on a geometry-optimized SrTc2Ru structure.

Results
Density (g cm⁻³): 7.7

abc: 5.0881 5.0881 5.6056
angles: 103.59 103.59 35.95
With the nearest neighbours (Å) after each atom.
Sites, in units of the cell vectors:
Sr1 0.0000 0.0000 0.0000  2 Sr 3.14, 4 Ru 3.21, 6 Tc 3.25-3.37
Tc1 0.2157 0.2157 0.6392  2 Tc 2.42, 2 Ru 2.57
Tc2 0.7843 0.7843 0.3608  2 Tc 2.42, 2 Ru 2.57
Ru1 0.5000 0.5000 0.5000  4 Tc 2.57



--- d ---
VASP calculation (PBE) on a geometry-optimized SrTc2Ru structure.

Results
Density (g cm⁻³): 8.2

abc: 2.8639 3.6764 7.3897
angles: 90.00 90.00 90.00
With the nearest neighbours (Å) after each atom.
Sites, in units of the cell vectors:
Sr1 0.0000 0.0000 0.0000  2 Sr 2.86
Tc1 0.5000 0.5000 0.3295  1 Tc 2.52, 4 Ru 2.65
Tc2 0.5000 0.5000 0.6705  1 Tc 2.52, 4 Ru 2.65
Ru1 0.0000 0.0000 0.5000  8 Tc 2.65, 2 Ru 2.86



It comes down to c, which is 17 meV/atom more stable than the next structure.



--- a ---
VASP calculation (PBE) on a geometry-optimized SrTc2Ru structure.

Results
Density (g cm⁻³): 9.1

abc: 3.1482 4.5730 4.8774
angles: 90.00 90.00 90.00
With the nearest neighbours (Å) after each atom.
Sites, in units of the cell vectors:
Sr1 0.0000 0.0000 0.0000  4 Ru 2.78, 4 Tc 2.90
Tc1 0.0000 0.5000 0.5000  4 Tc 2.78, 4 Ru 2.90
Tc2 0.5000 0.0000 0.5000  4 Tc 2.78, 4 Sr 2.90
Ru1 0.5000 0.5000 0.0000  4 Sr 2.78, 4 Tc 2.90



--- b ---
VASP calculation (PBE) on a geometry-optimized SrTc2Ru structure.

Results
Density (g cm⁻³): 8.7

abc: 5.9141 5.9141 5.9141
angles: 152.06 130.63 57.68
With the nearest neighbours (Å) after each atom.
Sites, in units of the cell vectors:
Sr1 0.0000 0.0000 0.0000  4 Ru 2.85, 2 Sr 2.86
Tc1 0.2867 0.7867 0.5000  2 Ru 2.63, 2 Tc 2.86
Tc2 0.7133 0.2133 0.5000  2 Ru 2.63, 2 Tc 2.86
Ru1 0.5000 0.5000 0.0000  4 Tc 2.63, 4 Sr 2.85, 2 Ru 2.86



It comes down to b, which is 238 meV/atom more stable than the next structure.



--- a ---
VASP calculation (PBE) on a geometry-optimized SrTcRu structure.

Results
Density (g cm⁻³): 6.7

abc: 4.6417 4.6417 4.6417
angles: 60.00 60.00 60.00
With the nearest neighbours (Å) after each atom.
Sites, in units of the cell vectors:
Sr1 0.0000 0.0000 0.0000  4 Tc 2.84, 4 Ru 2.84
Tc1 0.7500 0.7500 0.7500  4 Sr 2.84
Ru1 0.2500 0.2500 0.2500  4 Sr 2.84



--- b ---
VASP calculation (PBE) on a geometry-optimized SrTcRu structure.

Results
Density (g cm⁻³): 8.4

abc: 2.9588 2.9588 7.4676
angles: 90.00 90.00 120.00
With the nearest neighbours (Å) after each atom.
Sites, in units of the cell vectors:
Sr1 0.0000 0.0000 0.0000  6 Sr 2.96, 3 Ru 3.22, 3 Tc 3.27
Tc1 0.3333 0.6667 0.3729  3 Ru 2.59
Ru1 0.6667 0.3333 0.6344  3 Tc 2.59



It comes down to b, which is 1194 meV/atom more stable than the next structure.



--- a ---
VASP calculation (PBE) on a geometry-optimized SrTcRu structure.

Results
Density (g cm⁻³): 7.4

abc: 4.5019 4.5019 4.5019
angles: 60.00 60.00 60.00
With the nearest neighbours (Å) after each atom.
Sites, in units of the cell vectors:
Sr1 0.0000 0.0000 0.0000  4 Tc 2.76
Tc1 0.7500 0.7500 0.7500  4 Ru 2.76, 4 Sr 2.76
Ru1 0.5000 0.5000 0.5000  4 Tc 2.76



--- b ---
VASP calculation (PBE) on a geometry-optimized SrTcRu structure.

Results
Density (g cm⁻³): 7.4

abc: 6.4080 6.4080 6.4080
angles: 150.43 150.43 42.31
With the nearest neighbours (Å) after each atom.
Sites, in units of the cell vectors:
Sr1 0.0000 0.0000 0.0000  4 Sr 3.27, 5 Ru 3.40-3.49, 5 Tc 3.41-3.47
Tc1 0.2907 0.2907 0.0000  4 Ru 2.51
Ru1 0.7084 0.7084 0.0000  4 Tc 2.51



It comes down to b, which is 597 meV/atom more stable than the next structure.



--- a ---
VASP calculation (PBE) on a geometry-optimized SrTe2Ru structure.

Results
Density (g cm⁻³): 5.7

abc: 4.5277 6.4760 6.4760
angles: 43.12 90.00 90.00
With the nearest neighbours (Å) after each atom.
Sites, in units of the cell vectors:
Sr1 0.0000 0.0000 0.0000  7 Te 3.46-3.51, 4 Ru 3.58
Te1 0.0000 0.7086 0.7086  2 Ru 2.51
Te2 0.5000 0.4075 0.4075  1 Ru 2.54
Ru1 0.5000 0.6181 0.6181  3 Te 2.51-2.54



--- b ---
VASP calculation (PBE) on a geometry-optimized SrTe2Ru structure.

Results
Density (g cm⁻³): 6.6

abc: 5.3685 5.3685 4.1159
angles: 90.00 90.00 108.55
With the nearest neighbours (Å) after each atom.
Sites, in units of the cell vectors:
Sr1 0.0000 0.0000 0.0000  2 Ru 3.13, 4 Te 3.41
Te1 0.3121 0.6879 0.5000  2 Ru 2.63
Te2 0.6879 0.3121 0.5000  2 Ru 2.63
Ru1 0.5000 0.5000 0.0000  4 Te 2.63



--- c ---
VASP calculation (PBE) on a geometry-optimized SrTe2Ru structure.

Results
Density (g cm⁻³): 4.1

abc: 9.1151 9.1151 9.1151
angles: 31.15 31.15 31.15
With the nearest neighbours (Å) after each atom.
Sites, in units of the cell vectors:
Sr1 0.0000 0.0000 0.0000  6 Te 3.33
Te1 0.4010 0.4010 0.4010  1 Ru 2.57
Te2 0.5990 0.5990 0.5990  1 Ru 2.57
Ru1 0.5000 0.5000 0.5000  2 Te 2.57



It comes down to b, which is 113 meV/atom more stable than the next structure.